Record 1
First-principles (PBE) data for an optimized crystal structure of TbNd4As5, as listed in Alexandria via LeMat-Bulk.

Cell lengths 7.357, 7.357, 7.357 Å; angles 99.60, 99.60, 131.80 degrees
Atoms (fractional coordinates):
Tb  0.000  0.000  0.000
Nd  0.200  0.599  0.799
Nd  0.401  0.200  0.601
Nd  0.599  0.800  0.399
Nd  0.800  0.401  0.201
As  0.099  0.296  0.395
As  0.296  0.901  0.197
As  0.500  0.500  0.000
As  0.704  0.099  0.803
As  0.901  0.704  0.605

Energy = -62.09 eV/cell

Record 2
First-principles (PBE) data for an optimized crystal structure of TbNd3As4, as listed in Alexandria via LeMat-Bulk.

Cell lengths 7.342, 7.342, 4.243 Å; angles 90.00, 90.00, 109.46 degrees
Atoms (fractional coordinates):
Tb  0.000  0.000  0.000
Nd  0.000  0.500  0.500
Nd  0.500  0.000  0.500
Nd  0.500  0.500  0.000
As  0.245  0.245  0.500
As  0.247  0.753  0.000
As  0.753  0.247  0.000
As  0.755  0.755  0.500

Energy = -49.65 eV/cell

Record 3
First-principles (PBE) data for an optimized crystal structure of TbNd2As3, as listed in Alexandria via LeMat-Bulk.

Cell lengths 9.458, 9.458, 9.458 Å; angles 154.15, 154.15, 36.88 degrees
Atoms (fractional coordinates):
Tb  0.000  0.000  0.000
Nd  0.334  0.334  0.000
Nd  0.666  0.666  0.000
As  0.164  0.164  0.000
As  0.500  0.500  0.000
As  0.836  0.836  0.000

Energy = -37.20 eV/cell

Record 4
First-principles (PBE) data for an optimized crystal structure of TbNd2As3, as listed in Alexandria via LeMat-Bulk.

Cell lengths 7.323, 7.323, 7.323 Å; angles 146.40, 131.78, 60.05 degrees
Atoms (fractional coordinates):
Tb  0.000  0.000  0.000
Nd  0.333  0.333  0.000
Nd  0.667  0.667  0.000
As  0.162  0.662  0.500
As  0.500  0.000  0.500
As  0.838  0.338  0.500

Energy = -37.21 eV/cell